NiAs2Cl: optimized geometry, GGA-PBE.

Lattice parameters (Å, degrees): 3.3144 3.3144 6.9287 90.00 90.00 90.00
Positions (direct):
Ni1 0.0000 0.0000 0.0000
As1 0.0000 0.0000 0.3568
As2 0.5000 0.5000 0.1540
Cl1 0.5000 0.5000 0.7558

Summary:
E above lowest polymorph = 365 meV/atom
Total DFT energy (no corrections) = -4.114 eV/atom
Space-group type = No. 99
Calculated volume = 19.03 A^3/atom
Uncorrected formation energy = 118.1 meV/atom

=====

Ni2AsCl: optimized geometry, GGA-PBE.

Lattice parameters (Å, degrees): 6.0328 6.0328 6.0328 124.41 124.41 82.52
Positions (direct):
Ni1 0.1184 0.6250 0.9934
Ni2 0.3750 0.3684 0.4934
Ni3 0.6316 0.1250 0.0066
Ni4 0.8750 0.8816 0.5066
As1 0.0000 0.0000 0.0000
As2 0.7500 0.2500 0.5000
Cl1 0.2500 0.7500 0.5000
Cl2 0.5000 0.5000 0.0000

Summary:
E above lowest polymorph = 181 meV/atom
Total DFT energy (no corrections) = -4.554 eV/atom
Space-group type = No. 122
Calculated volume = 17.95 A^3/atom
Uncorrected formation energy = -39.8 meV/atom

=====

NiAs2Cl: optimized geometry, GGA-PBE.

Lattice parameters (Å, degrees): 6.8062 6.8062 6.8062 128.39 128.39 76.00
Positions (direct):
Ni1 0.0000 0.0000 0.0000
Ni2 0.7500 0.2500 0.5000
As1 0.0385 0.6250 0.9135
As2 0.3750 0.2885 0.4135
As3 0.7115 0.1250 0.0865
As4 0.8750 0.9615 0.5865
Cl1 0.2500 0.7500 0.5000
Cl2 0.5000 0.5000 0.0000

Summary:
E above lowest polymorph = 365 meV/atom
Total DFT energy (no corrections) = -4.113 eV/atom
Space-group type = No. 122
Calculated volume = 23.54 A^3/atom
Uncorrected formation energy = 118.8 meV/atom

=====

NiAs2Cl: optimized geometry, GGA-PBE.

Lattice parameters (Å, degrees): 4.8819 4.8819 2.8341 90.00 90.00 90.00
Positions (direct):
Ni1 0.0000 0.0000 0.0000
As1 0.0000 0.5000 0.5000
As2 0.5000 0.0000 0.5000
Cl1 0.5000 0.5000 0.0000

Summary:
E above lowest polymorph = 732 meV/atom
Total DFT energy (no corrections) = -3.746 eV/atom
Space-group type = No. 123
Calculated volume = 16.89 A^3/atom
Uncorrected formation energy = 485.5 meV/atom

=====

NiAsCl: optimized geometry, GGA-PBE.

Lattice parameters (Å, degrees): 6.8075 6.5133 3.1774 81.42 71.10 27.48
Positions (direct):
Ni1 0.0000 0.0000 0.0000
As1 0.3815 0.3815 0.6185
Cl1 0.6222 0.6222 0.3778

Summary:
E above lowest polymorph = 224 meV/atom
Total DFT energy (no corrections) = -4.164 eV/atom
Space-group type = No. 42
Calculated volume = 19.45 A^3/atom
Uncorrected formation energy = -71.6 meV/atom

=====

NiAs2Cl: optimized geometry, GGA-PBE.

Lattice parameters (Å, degrees): 5.9984 5.9984 5.9984 151.58 136.27 52.98
Positions (direct):
Ni1 0.0000 0.0000 0.0000
As1 0.1900 0.6899 0.5000
As2 0.8101 0.3100 0.5000
Cl1 0.5000 0.5000 0.0000

Summary:
E above lowest polymorph = 438 meV/atom
Total DFT energy (no corrections) = -4.041 eV/atom
Space-group type = No. 71
Calculated volume = 17.66 A^3/atom
Uncorrected formation energy = 191.0 meV/atom

=====

Ni2AsCl: optimized geometry, GGA-PBE.

Lattice parameters (Å, degrees): 3.0451 3.2306 6.2553 90.00 90.00 90.00
Positions (direct):
Ni1 0.0000 0.0000 0.1942
Ni2 0.0000 0.0000 0.8058
As1 0.5000 0.5000 0.0000
Cl1 0.5000 0.0000 0.5000

Summary:
E above lowest polymorph = 121 meV/atom
Total DFT energy (no corrections) = -4.614 eV/atom
Space-group type = No. 47
Calculated volume = 15.38 A^3/atom
Uncorrected formation energy = -99.4 meV/atom

=====

Ni2AsCl: optimized geometry, GGA-PBE.

Lattice parameters (Å, degrees): 4.7340 4.7340 2.9127 96.88 96.88 89.78
Positions (direct):
Ni1 0.0000 0.5000 0.0000
Ni2 0.5000 0.0000 0.0000
As1 0.0000 0.0000 0.0000
Cl1 0.5000 0.5000 0.0000

Summary:
E above lowest polymorph = 429 meV/atom
Total DFT energy (no corrections) = -4.306 eV/atom
Space-group type = No. 12
Calculated volume = 16.08 A^3/atom
Uncorrected formation energy = 208.2 meV/atom

=====

The following M_tot values (in μB/cell) correspond, in order, to the records above: 0.0, 0.0, 0.0, 0.0, 0.0, 0.0, 0.0, 0.0.